Below is LiCu2As after structural relaxation, with properties calculated at the PBE level.

a b c (Å): 2.8643 2.8643 25.1833
angles (deg): 90.00 90.00 120.00
Space group R-3m (No. 166, hexagonal axes)
One atom of each set of equivalent atoms:
Li 0.0000 0.0000 0.0000 x3
Cu 0.0000 0.0000 0.2485 x6
As 0.0000 0.0000 0.5000 x3

Mass density, Mg/m³: 5.82
Energy relative to the elements, eV/f.u.: 0.672
Final energy, eV/atom: -3.521
Volume, Å³/cell: 179

Below is Ba3Pu5O12 after structural relaxation, with properties calculated at the PBE level.

a b c (Å): 14.3947 14.3947 14.3947
angles (deg): 90.00 90.00 90.00
Space group Ia-3d (No. 230)
One atom of each set of equivalent atoms:
Ba 0.0000 0.2500 0.1250 x24
Pu 0.0000 0.0000 0.0000 x16
Pu 0.0000 0.2500 0.3750 x24
O 0.0296 0.0482 0.6449 x96

Mass density, Mg/m³: 8.12
Final energy, eV/atom: -9.732
Volume, Å³/cell: 2983

Below is NaPm3C after structural relaxation, with properties calculated at the PBE level.

a b c (Å): 5.2057 5.2057 5.2057
angles (deg): 90.00 90.00 90.00
Space group Pm-3m (No. 221)
One atom of each set of equivalent atoms:
Na 0.0000 0.0000 0.0000 x1
Pm 0.0000 0.5000 0.5000 x3
C 0.5000 0.5000 0.5000 x1

Mass density, Mg/m³: 5.53
Energy relative to the elements, eV/f.u.: 0.654
Final energy, eV/atom: -4.828
Volume, Å³/cell: 141

Below is LiAu2F4 after structural relaxation, with properties calculated at the PBE level.

a b c (Å): 12.7385 3.2054 4.8758
angles (deg): 90.00 96.17 90.00
Space group C2/m (No. 12)
One atom of each set of equivalent atoms:
Li 0.0000 0.0000 0.0000 x2
Au 0.2461 0.5000 0.2463 x4
F 0.0888 0.5000 0.1828 x4
F 0.0985 0.0000 0.7000 x4

Mass density, Mg/m³: 8.00
Final energy, eV/atom: -3.681
Volume, Å³/cell: 198

Below is Ba2PaGaO6 after structural relaxation, with properties calculated at the PBE level.

a b c (Å): 8.4594 8.4594 8.4594
angles (deg): 90.00 90.00 90.00
Space group Fm-3m (No. 225)
One atom of each set of equivalent atoms:
Ba 0.2500 0.2500 0.2500 x8
Pa 0.0000 0.0000 0.0000 x4
Ga 0.0000 0.0000 0.5000 x4
O 0.0000 0.0000 0.2577 x24

Mass density, Mg/m³: 7.37
Final energy, eV/atom: -7.518
Volume, Å³/cell: 605

Below is FeSeI2N after structural relaxation, with properties calculated at the PBE level.

a b c (Å): 5.9559 5.9559 3.6987
angles (deg): 90.00 90.00 90.00
Space group P4/mmm (No. 123)
One atom of each set of equivalent atoms:
Fe 0.0000 0.0000 0.0000 x1
Se 0.5000 0.5000 0.5000 x1
I 0.0000 0.5000 0.5000 x2
N 0.5000 0.5000 0.0000 x1

Mass density, Mg/m³: 5.10
Final energy, eV/atom: -3.477
Volume, Å³/cell: 131